*P*
Crystalline Na2Tl8Sn at its relaxed geometry, computed with PBE.

Computed properties:
- Symmetry: P4/mmm, No. 123

Lattice parameters (Å, degrees): 5.2676 5.2676 12.1665 90.00 90.00 90.00
With the nearest neighbours (Å) after each atom.
Element x y z (fractional)
Na (0.0000, 0.0000, 0.1759)  12 Tl 3.39-3.72
Na (0.0000, 0.0000, 0.8241)  12 Tl 3.39-3.72
Tl (0.0000, 0.5000, 0.0000)  8 Tl 3.37-3.72, 4 Na 3.39
Tl (0.0000, 0.5000, 0.3510)  2 Sn 3.20, 2 Na 3.39, 2 Tl 3.41
Tl (0.0000, 0.5000, 0.6490)  2 Sn 3.20, 2 Na 3.39, 2 Tl 3.41
Tl (0.5000, 0.0000, 0.0000)  8 Tl 3.37-3.72, 4 Na 3.39
Tl (0.5000, 0.0000, 0.3510)  2 Sn 3.20, 2 Na 3.39, 2 Tl 3.41
Tl (0.5000, 0.0000, 0.6490)  2 Sn 3.20, 2 Na 3.39, 2 Tl 3.41
Tl (0.5000, 0.5000, 0.1730)  8 Tl 3.37-3.41, 4 Na 3.72
Tl (0.5000, 0.5000, 0.8270)  8 Tl 3.37-3.41, 4 Na 3.72
Sn (0.0000, 0.0000, 0.5000)  8 Tl 3.20



*Q*
Crystalline Na2Tl8Sn at its relaxed geometry, computed with PBE.

Computed properties:
- Symmetry: C2/m, No. 12

Lattice parameters (Å, degrees): 9.1741 9.1741 7.7379 103.45 103.45 30.50
With the nearest neighbours (Å) after each atom.
Element x y z (fractional)
Na (0.1358, 0.1358, 0.1788)  10 Tl 3.38-3.52, 2 Sn 3.45
Na (0.8642, 0.8642, 0.8212)  10 Tl 3.38-3.52, 2 Sn 3.45
Tl (0.0430, 0.0430, 0.7322)  2 Sn 3.39, 2 Na 3.40-3.45, 8 Tl 3.44-3.55
Tl (0.2261, 0.2261, 0.6364)  9 Tl 3.44-3.49, 3 Na 3.49-3.52
Tl (0.3195, 0.3195, 0.0866)  3 Na 3.38-3.49, 1 Sn 3.42, 8 Tl 3.45-3.55
Tl (0.4091, 0.4091, 0.5501)  2 Na 3.41, 9 Tl 3.44-3.55, 1 Sn 3.47
Tl (0.5909, 0.5909, 0.4499)  2 Na 3.41, 9 Tl 3.44-3.55, 1 Sn 3.47
Tl (0.6805, 0.6805, 0.9134)  3 Na 3.38-3.49, 1 Sn 3.42, 8 Tl 3.45-3.55
Tl (0.7739, 0.7739, 0.3636)  9 Tl 3.44-3.49, 3 Na 3.49-3.52
Tl (0.9570, 0.9570, 0.2678)  2 Sn 3.39, 2 Na 3.40-3.45, 8 Tl 3.44-3.55
Sn (0.5000, 0.5000, 0.0000)  8 Tl 3.39-3.47, 4 Na 3.45



The structure with the least stability is *P*.



*P*
Crystalline Na5TlSn at its relaxed geometry, computed with PBE.

Computed properties:
- Symmetry: Imm2, No. 44

Lattice parameters (Å, degrees): 7.8975 12.1717 6.0688 90.00 90.00 90.00
With the nearest neighbours (Å) after each atom.
Element x y z (fractional)
Na (0.0000, 0.0000, 0.0000)  1 Tl 2.85, 2 Na 3.09
Na (0.0000, 0.2541, 0.3944)  1 Sn 3.07, 1 Tl 3.20
Na (0.0000, 0.7459, 0.3944)  1 Sn 3.07, 1 Tl 3.20
Na (0.1742, 0.5000, 0.7833)  1 Na 2.75, 1 Tl 2.98
Na (0.3258, 0.0000, 0.2833)  1 Na 2.75, 1 Tl 2.98
Na (0.5000, 0.2459, 0.8944)  1 Sn 3.07, 1 Tl 3.20
Na (0.5000, 0.5000, 0.5000)  1 Tl 2.85, 2 Na 3.09
Na (0.5000, 0.7541, 0.8944)  1 Sn 3.07, 1 Tl 3.20
Na (0.6742, 0.0000, 0.2833)  1 Na 2.75, 1 Tl 2.98
Na (0.8258, 0.5000, 0.7833)  1 Na 2.75, 1 Tl 2.98
Tl (0.0000, 0.0000, 0.5310)  3 Na 2.85-2.98
Tl (0.5000, 0.5000, 0.0310)  3 Na 2.85-2.98
Sn (0.0000, 0.5000, 0.2808)  6 Na 3.07-3.35
Sn (0.5000, 0.0000, 0.7808)  6 Na 3.07-3.35



*Q*
Crystalline Na5TlSn at its relaxed geometry, computed with PBE.

Computed properties:
- Symmetry: C2/m, No. 12

Lattice parameters (Å, degrees): 5.8252 5.8252 12.9620 90.02 90.02 100.90
With the nearest neighbours (Å) after each atom.
Element x y z (fractional)
Na (0.0599, 0.0599, 0.2500)  1 Tl 3.11, 2 Sn 3.27, 4 Na 3.35
Na (0.1413, 0.5484, 0.1074)  2 Sn 3.22-3.44, 2 Na 3.23-3.35, 2 Tl 3.41-3.58
Na (0.1412, 0.5483, 0.3926)  2 Sn 3.22-3.44, 2 Na 3.23-3.35, 2 Tl 3.40-3.57
Na (0.4517, 0.8588, 0.6074)  2 Sn 3.22-3.44, 2 Na 3.23-3.35, 2 Tl 3.40-3.57
Na (0.4516, 0.8587, 0.8926)  2 Sn 3.22-3.44, 2 Na 3.23-3.35, 2 Tl 3.41-3.58
Na (0.5484, 0.1413, 0.1074)  2 Sn 3.22-3.44, 2 Na 3.23-3.35, 2 Tl 3.41-3.58
Na (0.5483, 0.1412, 0.3926)  2 Sn 3.22-3.44, 2 Na 3.23-3.35, 2 Tl 3.40-3.57
Na (0.8588, 0.4517, 0.6074)  2 Sn 3.22-3.44, 2 Na 3.23-3.35, 2 Tl 3.40-3.57
Na (0.8587, 0.4516, 0.8926)  2 Sn 3.22-3.44, 2 Na 3.23-3.35, 2 Tl 3.41-3.58
Na (0.9401, 0.9401, 0.7500)  1 Tl 3.11, 2 Sn 3.27, 4 Na 3.35
Tl (0.3588, 0.3588, 0.7498)  5 Na 3.11-3.41
Tl (0.6412, 0.6412, 0.2502)  5 Na 3.11-3.41
Sn (0.0000, 0.0000, 0.0000)  10 Na 3.22-3.44
Sn (0.0000, 0.0000, 0.5000)  10 Na 3.22-3.44



The structure with the least stability is *P*.



*P*
Crystalline Na4Tl2Sn at its relaxed geometry, computed with PBE.

Computed properties:
- Symmetry: R-3m, No. 166

Lattice parameters (Å, degrees): 9.0116 9.0116 9.0116 34.71 34.71 34.71
With the nearest neighbours (Å) after each atom.
Element x y z (fractional)
Na (0.1130, 0.1130, 0.1130)  4 Tl 3.14-3.22, 3 Sn 3.39
Na (0.3699, 0.3699, 0.3699)  1 Sn 3.30, 4 Tl 3.30-3.42, 6 Na 3.62-3.66
Na (0.6301, 0.6301, 0.6301)  1 Sn 3.30, 4 Tl 3.30-3.42, 6 Na 3.62-3.66
Na (0.8870, 0.8870, 0.8870)  4 Tl 3.14-3.22, 3 Sn 3.39
Tl (0.2398, 0.2398, 0.2398)  8 Na 3.14-3.42
Tl (0.7602, 0.7602, 0.7602)  8 Na 3.14-3.42
Sn (0.5000, 0.5000, 0.5000)  8 Na 3.30-3.39, 6 Tl 3.62



*Q*
Crystalline Na4Tl2Sn at its relaxed geometry, computed with PBE.

Computed properties:
- Symmetry: I4/mmm, No. 139

Lattice parameters (Å, degrees): 5.8681 5.8681 15.7694 90.00 90.00 90.00
With the nearest neighbours (Å) after each atom.
Element x y z (fractional)
Na (0.0000, 0.0000, 0.1948)  1 Sn 3.07, 1 Tl 3.22
Na (0.0000, 0.0000, 0.8052)  1 Sn 3.07, 1 Tl 3.22
Na (0.0000, 0.5000, 0.0000)  2 Sn 2.93
Na (0.0000, 0.5000, 0.5000)  2 Sn 2.93
Na (0.5000, 0.0000, 0.0000)  2 Sn 2.93
Na (0.5000, 0.0000, 0.5000)  2 Sn 2.93
Na (0.5000, 0.5000, 0.3052)  1 Sn 3.07, 1 Tl 3.22
Na (0.5000, 0.5000, 0.6948)  1 Sn 3.07, 1 Tl 3.22
Tl (0.0000, 0.0000, 0.3991)  1 Tl 3.18, 5 Na 3.22-3.34
Tl (0.0000, 0.0000, 0.6009)  1 Tl 3.18, 5 Na 3.22-3.34
Tl (0.5000, 0.5000, 0.1009)  1 Tl 3.18, 5 Na 3.22-3.34
Tl (0.5000, 0.5000, 0.8991)  1 Tl 3.18, 5 Na 3.22-3.34
Sn (0.0000, 0.0000, 0.0000)  6 Na 2.93-3.07
Sn (0.5000, 0.5000, 0.5000)  6 Na 2.93-3.07



The structure with the least stability is *Q*.



*P*
Crystalline Na8TlSn2 at its relaxed geometry, computed with PBE.

Computed properties:
- Symmetry: C2/m, No. 12

Lattice parameters (Å, degrees): 9.4930 9.4930 5.6864 107.24 107.24 123.53
With the nearest neighbours (Å) after each atom.
Element x y z (fractional)
Na (0.0924, 0.3885, 0.7205)  5 Na 3.18-3.48, 3 Sn 3.30-3.51
Na (0.1964, 0.8036, 0.0000)  6 Na 3.18-3.48, 1 Tl 3.29, 2 Sn 3.52
Na (0.3885, 0.0924, 0.7205)  5 Na 3.18-3.48, 3 Sn 3.30-3.51
Na (0.4183, 0.4183, 0.1892)  1 Na 2.85, 1 Tl 3.19
Na (0.5817, 0.5817, 0.8108)  1 Na 2.85, 1 Tl 3.19
Na (0.6115, 0.9076, 0.2795)  5 Na 3.18-3.48, 3 Sn 3.30-3.51
Na (0.8036, 0.1964, 0.0000)  6 Na 3.18-3.48, 1 Tl 3.29, 2 Sn 3.52
Na (0.9076, 0.6115, 0.2795)  5 Na 3.18-3.48, 3 Sn 3.30-3.51
Tl (0.0000, 0.0000, 0.0000)  4 Na 3.19-3.29
Sn (0.3260, 0.6740, 0.5000)  12 Na 3.24-3.58
Sn (0.6740, 0.3260, 0.5000)  12 Na 3.24-3.58



*Q*
Crystalline Na8TlSn2 at its relaxed geometry, computed with PBE.

Computed properties:
- Symmetry: C2/m, No. 12

Lattice parameters (Å, degrees): 8.4272 8.4272 5.7874 98.42 98.42 90.51
With the nearest neighbours (Å) after each atom.
Element x y z (fractional)
Na (0.0901, 0.0901, 0.2981)  3 Na 3.25-3.48, 1 Sn 3.27
Na (0.1620, 0.6403, 0.2225)  1 Sn 3.21, 1 Tl 3.44, 2 Na 3.49-3.56
Na (0.2323, 0.2323, 0.8741)  1 Tl 3.11, 2 Sn 3.22-3.41, 2 Na 3.25-3.41
Na (0.3597, 0.8380, 0.7775)  1 Sn 3.21, 1 Tl 3.44, 2 Na 3.49-3.56
Na (0.6403, 0.1620, 0.2225)  1 Sn 3.21, 1 Tl 3.44, 2 Na 3.49-3.56
Na (0.7677, 0.7677, 0.1259)  1 Tl 3.11, 2 Sn 3.22-3.41, 2 Na 3.25-3.41
Na (0.8380, 0.3597, 0.7775)  1 Sn 3.21, 1 Tl 3.44, 2 Na 3.49-3.56
Na (0.9099, 0.9099, 0.7019)  3 Na 3.25-3.48, 1 Sn 3.27
Tl (0.5000, 0.5000, 0.0000)  6 Na 3.11-3.44, 4 Sn 3.22-3.29
Sn (0.3715, 0.3715, 0.4520)  1 Sn 2.98, 4 Na 3.21-3.27, 2 Tl 3.22-3.29
Sn (0.6285, 0.6285, 0.5480)  1 Sn 2.98, 4 Na 3.21-3.27, 2 Tl 3.22-3.29



The structure with the least stability is *Q*.



*P*
Crystalline Na6TlSn at its relaxed geometry, computed with PBE.

Computed properties:
- Symmetry: Pmm2, No. 25

Lattice parameters (Å, degrees): 5.6299 7.2067 5.8050 90.00 90.00 90.00
With the nearest neighbours (Å) after each atom.
Element x y z (fractional)
Na (0.0000, 0.0000, 0.0000)  6 Na 3.19-3.42, 2 Sn 3.46
Na (0.0000, 0.2426, 0.4604)  4 Na 3.19-3.50, 2 Sn 3.38, 2 Tl 3.41-3.48
Na (0.0000, 0.7574, 0.4604)  4 Na 3.19-3.50, 2 Sn 3.38, 2 Tl 3.41-3.48
Na (0.5000, 0.2378, 0.8437)  2 Sn 3.36-3.38, 7 Na 3.37-3.59, 2 Tl 3.45
Na (0.5000, 0.5000, 0.3235)  8 Na 3.37-3.56, 2 Tl 3.54, 2 Sn 3.61
Na (0.5000, 0.7622, 0.8437)  2 Sn 3.36-3.38, 7 Na 3.37-3.59, 2 Tl 3.45
Tl (0.0000, 0.5000, 0.9536)  12 Na 3.41-3.61
Sn (0.5000, 0.0000, 0.3460)  12 Na 3.36-3.61



*Q*
Crystalline Na6TlSn at its relaxed geometry, computed with PBE.

Computed properties:
- Symmetry: P-1, No. 2

Lattice parameters (Å, degrees): 6.1890 6.1918 6.1930 89.23 89.82 89.89
With the nearest neighbours (Å) after each atom.
Element x y z (fractional)
Na (0.9999, 0.0023, 0.2443)  2 Na 3.03-3.17
Na (0.0001, 0.9977, 0.7557)  2 Na 3.03-3.17
Na (0.2554, 0.4993, 0.9994)  2 Na 3.03-3.16
Na (0.4990, 0.7557, 0.5009)  2 Na 3.02-3.17
Na (0.5010, 0.2443, 0.4991)  2 Na 3.02-3.17
Na (0.7446, 0.5007, 0.0006)  2 Na 3.03-3.16
Tl (0.0000, 0.5000, 0.5000)  12 Na 3.47-3.48
Sn (0.5000, 0.0000, 0.0000)  12 Na 3.43-3.46



The structure with the least stability is *Q*.



*P*
Crystalline Na3Tl7Sn2 at its relaxed geometry, computed with PBE.

Computed properties:
- Symmetry: Cmmm, No. 65

Lattice parameters (Å, degrees): 16.5982 16.5982 4.8946 90.00 90.00 162.99
With the nearest neighbours (Å) after each atom.
Element x y z (fractional)
Na (0.0000, 0.0000, 0.0000)  12 Tl 3.45-3.47
Na (0.1597, 0.8403, 0.0000)  4 Sn 3.58, 4 Tl 3.72-3.73
Na (0.8403, 0.1597, 0.0000)  4 Sn 3.58, 4 Tl 3.72-3.73
Tl (0.0741, 0.9259, 0.5000)  2 Sn 3.12, 2 Na 3.45, 6 Tl 3.46-3.47
Tl (0.2776, 0.7224, 0.5000)  1 Sn 2.94, 2 Tl 3.05
Tl (0.4255, 0.5745, 0.0000)  2 Sn 3.11, 6 Tl 3.46-3.47, 2 Na 3.47
Tl (0.5000, 0.5000, 0.5000)  8 Tl 3.46, 4 Na 3.47
Tl (0.5745, 0.4255, 0.0000)  2 Sn 3.11, 6 Tl 3.46-3.47, 2 Na 3.47
Tl (0.7224, 0.2776, 0.5000)  1 Sn 2.94, 2 Tl 3.05
Tl (0.9259, 0.0741, 0.5000)  2 Sn 3.12, 2 Na 3.45, 6 Tl 3.46-3.47
Sn (0.3670, 0.6330, 0.5000)  5 Tl 2.94-3.12
Sn (0.6330, 0.3670, 0.5000)  5 Tl 2.94-3.12



*Q*
Crystalline Na3Tl7Sn2 at its relaxed geometry, computed with PBE.

Computed properties:
- Symmetry: R-3m, No. 166

Lattice parameters (Å, degrees): 11.0995 11.0995 11.0995 34.60 34.60 34.60
With the nearest neighbours (Å) after each atom.
Element x y z (fractional)
Na (0.0000, 0.0000, 0.0000)  6 Sn 3.81, 12 Tl 4.21
Na (0.1384, 0.1384, 0.1384)  12 Tl 3.72-3.94
Na (0.8616, 0.8616, 0.8616)  12 Tl 3.72-3.94
Tl (0.0749, 0.5881, 0.5881)  2 Sn 3.19-3.29, 5 Tl 3.21-3.39
Tl (0.4119, 0.4119, 0.9251)  2 Sn 3.19-3.29, 5 Tl 3.21-3.39
Tl (0.4119, 0.9251, 0.4119)  2 Sn 3.19-3.29, 5 Tl 3.21-3.39
Tl (0.5000, 0.5000, 0.5000)  6 Tl 3.25
Tl (0.5881, 0.0749, 0.5881)  2 Sn 3.19-3.29, 5 Tl 3.21-3.39
Tl (0.5881, 0.5881, 0.0749)  2 Sn 3.19-3.29, 5 Tl 3.21-3.39
Tl (0.9251, 0.4119, 0.4119)  2 Sn 3.19-3.29, 5 Tl 3.21-3.39
Sn (0.3365, 0.3365, 0.3365)  6 Tl 3.19-3.29
Sn (0.6635, 0.6635, 0.6635)  6 Tl 3.19-3.29



The structure with the least stability is *Q*.